(1)
DFT (GGA-PBE) results for an optimized crystal structure of Pm4Al2ZnGa.

- Total energy: -4.251 eV/atom
- D(E_F): 0.7389 states/eV/atom
- SG: No. 166

abc: 9.0389 9.0389 9.0389
angles: 33.59 33.59 33.59
Closest atoms and distances in Å follow each position.
Sites, in units of the cell vectors:
Pm 0.1252 0.1252 0.1252  4 Al 3.16-3.19, 3 Zn 3.20, 1 Ga 3.20
Pm 0.3752 0.3752 0.3752  1 Zn 3.19, 3 Ga 3.20, 4 Al 3.21-3.24
Pm 0.6248 0.6248 0.6248  1 Zn 3.19, 3 Ga 3.20, 4 Al 3.21-3.24
Pm 0.8748 0.8748 0.8748  4 Al 3.16-3.19, 3 Zn 3.20, 1 Ga 3.20
Al 0.2486 0.2486 0.2486  8 Pm 3.16-3.24
Al 0.7514 0.7514 0.7514  8 Pm 3.16-3.24
Zn 0.5000 0.5000 0.5000  8 Pm 3.19-3.20
Ga 0.0000 0.0000 0.0000  8 Pm 3.20

***

(2)
DFT (GGA-PBE) results for an optimized crystal structure of NbCoBr2.

- D(E_F): 1.2712 states/eV/atom
- SG: No. 225
- Energy relative to the elements, uncorrected: 0.620 eV/atom
- Energy above the lowest structure with this stoichiometry: 32.50 kJ per mole of atoms

abc: 4.5864 4.5864 4.5864
angles: 60.00 60.00 60.00
Closest atoms and distances in Å follow each position.
Sites, in units of the cell vectors:
Nb 0.0000 0.0000 0.0000  8 Br 2.81
Co 0.5000 0.5000 0.5000  8 Br 2.81
Br 0.2500 0.2500 0.2500  4 Co 2.81, 4 Nb 2.81
Br 0.7500 0.7500 0.7500  4 Nb 2.81, 4 Co 2.81

***

(3)
DFT (GGA-PBE) results for an optimized crystal structure of RePO5.

- D(E_F): 0.3218 states/eV/atom
- SG: No. 15
- Energy relative to the elements, uncorrected: -1.836 eV/atom
- Energy above the lowest structure with this stoichiometry: 0.00 kJ per mole of atoms

abc: 8.9430 8.9430 5.3322
angles: 90.03 90.03 92.58
Closest atoms and distances in Å follow each position.
Sites, in units of the cell vectors:
Re 0.0522 0.2463 0.2506  6 O 1.84-2.06
Re 0.2463 0.0522 0.7506  6 O 1.84-2.06
Re 0.7537 0.9478 0.2494  6 O 1.84-2.06
Re 0.9478 0.7537 0.7494  6 O 1.84-2.06
P 0.1534 0.6088 0.2363  4 O 1.51-1.61
P 0.3912 0.8466 0.2637  4 O 1.51-1.61
P 0.6088 0.1534 0.7363  4 O 1.51-1.61
P 0.8466 0.3912 0.7637  4 O 1.51-1.61
O 0.0667 0.6715 0.4528  1 P 1.51
O 0.0795 0.9206 0.7500  2 Re 1.86
O 0.0929 0.6464 0.9772  1 P 1.53
O 0.1580 0.1772 0.9814  2 Re 1.84-1.86
O 0.1763 0.4405 0.2616  1 P 1.53
O 0.1772 0.1580 0.4814  2 Re 1.84-1.86
O 0.3230 0.6770 0.2500  2 P 1.61
O 0.3285 0.9333 0.0472  1 P 1.51
O 0.3536 0.9071 0.5228  1 P 1.53
O 0.4405 0.1763 0.7616  1 P 1.53
O 0.5595 0.8237 0.2384  1 P 1.53
O 0.6464 0.0929 0.4772  1 P 1.53
O 0.6715 0.0667 0.9528  1 P 1.51
O 0.6770 0.3230 0.7500  2 P 1.61
O 0.8228 0.8420 0.5186  2 Re 1.84-1.86
O 0.8237 0.5595 0.7384  1 P 1.53
O 0.8420 0.8228 0.0186  2 Re 1.84-1.86
O 0.9071 0.3536 0.0228  1 P 1.53
O 0.9206 0.0795 0.2500  2 Re 1.86
O 0.9333 0.3285 0.5472  1 P 1.51

***

(4)
DFT (GGA-PBE) results for an optimized crystal structure of GeRu2Cl.

- D(E_F): 1.0683 states/eV/atom
- SG: No. 122
- Energy relative to the elements, uncorrected: 0.629 eV/atom
- Energy above the lowest structure with this stoichiometry: 12.27 kJ per mole of atoms

abc: 6.7310 6.7310 6.7310
angles: 133.42 133.42 67.99
Closest atoms and distances in Å follow each position.
Sites, in units of the cell vectors:
Ge 0.0000 0.0000 0.0000  4 Ru 2.39
Ge 0.7500 0.2500 0.5000  4 Ru 2.39
Ru 0.1418 0.6250 0.0168  2 Cl 2.29, 2 Ge 2.39
Ru 0.3750 0.3918 0.5168  2 Cl 2.29, 2 Ge 2.39
Ru 0.6082 0.1250 0.9832  2 Cl 2.29, 2 Ge 2.39
Ru 0.8750 0.8582 0.4832  2 Cl 2.29, 2 Ge 2.39
Cl 0.2500 0.7500 0.5000  4 Ru 2.29
Cl 0.5000 0.5000 0.0000  4 Ru 2.29

***

(5)
DFT (GGA-PBE) results for an optimized crystal structure of BaTiTeO5.

- SG: No. 15
- Energy relative to the elements, uncorrected: -2.155 eV/atom

abc: 6.0472 6.0472 8.0570
angles: 107.16 107.16 101.12
Closest atoms and distances in Å follow each position.
Sites, in units of the cell vectors:
Ba 0.0748 0.9252 0.7500  6 O 2.57-2.78
Ba 0.9252 0.0748 0.2500  6 O 2.57-2.78
Ti 0.0000 0.5000 0.0000  6 O 1.95-2.11
Ti 0.5000 0.0000 0.5000  6 O 1.95-2.11
Te 0.4749 0.5251 0.7500  4 O 1.96-2.15
Te 0.5251 0.4749 0.2500  4 O 1.96-2.15
O 0.1588 0.2675 0.0617  1 Ti 1.95, 1 Te 2.15
O 0.2394 0.7606 0.2500  2 Ti 2.04
O 0.2575 0.5961 0.8838  1 Te 1.96, 1 Ti 2.11
O 0.2675 0.1588 0.5617  1 Ti 1.95, 1 Te 2.15
O 0.4039 0.7425 0.6162  1 Te 1.96, 1 Ti 2.11
O 0.5961 0.2575 0.3838  1 Te 1.96, 1 Ti 2.11
O 0.7325 0.8412 0.4383  1 Ti 1.95, 1 Te 2.15
O 0.7425 0.4039 0.1162  1 Te 1.96, 1 Ti 2.11
O 0.7606 0.2394 0.7500  2 Ti 2.04
O 0.8412 0.7325 0.9383  1 Ti 1.95, 1 Te 2.15

***

(6)
DFT (GGA-PBE) results for an optimized crystal structure of TbDy2Tm3As6.

- Total energy: -6.116 eV/atom
- D(E_F): 0.1533 states/eV/atom
- SG: No. 12

abc: 9.1526 9.1526 8.1859
angles: 102.88 102.88 25.85
Closest atoms and distances in Å follow each position.
Sites, in units of the cell vectors:
Tb 0.0000 0.0000 0.0000  6 As 2.91
Dy 0.3332 0.3332 0.6667  6 As 2.91
Dy 0.6668 0.6668 0.3333  6 As 2.91
Tm 0.0000 0.0000 0.5000  6 As 2.88
Tm 0.3334 0.3334 0.1670  6 As 2.88
Tm 0.6666 0.6666 0.8330  6 As 2.88
As 0.1659 0.1659 0.5851  3 Tm 2.88, 3 Dy 2.91
As 0.1678 0.1678 0.0814  3 Tm 2.88, 2 Dy 2.91, 1 Tb 2.91
As 0.4993 0.4993 0.2529  3 Tm 2.88, 1 Dy 2.91, 2 Tb 2.91
As 0.5007 0.5007 0.7471  3 Tm 2.88, 1 Dy 2.91, 2 Tb 2.91
As 0.8322 0.8322 0.9186  3 Tm 2.88, 2 Dy 2.91, 1 Tb 2.91
As 0.8341 0.8341 0.4149  3 Tm 2.88, 3 Dy 2.91

***

(7)
DFT (GGA-PBE) results for an optimized crystal structure of Ti3NbSe.

- D(E_F): 1.0331 states/eV/atom
- SG: No. 221
- Energy relative to the elements, uncorrected: 0.890 eV/atom
- Energy above the lowest structure with this stoichiometry: 114.64 kJ per mole of atoms

abc: 4.8242 4.8242 4.8242
angles: 90.00 90.00 90.00
Closest atoms and distances in Å follow each position.
Sites, in units of the cell vectors:
Ti 0.0000 0.0000 0.5000  2 Nb 2.41
Ti 0.0000 0.5000 0.0000  2 Nb 2.41
Ti 0.5000 0.0000 0.0000  2 Nb 2.41
Nb 0.0000 0.0000 0.0000  6 Ti 2.41
Se 0.5000 0.5000 0.5000  12 Ti 3.41

***

(8)
DFT (GGA-PBE) results for an optimized crystal structure of KSb3S.

- D(E_F): 1.0906 states/eV/atom
- SG: No. 221
- Energy relative to the elements, uncorrected: 0.199 eV/atom
- Energy above the lowest structure with this stoichiometry: 0.00 kJ per mole of atoms

abc: 5.4010 5.4010 5.4010
angles: 90.00 90.00 90.00
Closest atoms and distances in Å follow each position.
Sites, in units of the cell vectors:
K 0.0000 0.0000 0.0000  12 Sb 3.82
Sb 0.0000 0.5000 0.5000  2 S 2.70
Sb 0.5000 0.0000 0.5000  2 S 2.70
Sb 0.5000 0.5000 0.0000  2 S 2.70
S 0.5000 0.5000 0.5000  6 Sb 2.70

***

(9)
DFT (GGA-PBE) results for an optimized crystal structure of TbNdErSc.

- D(E_F): 1.5206 states/eV/atom
- SG: No. 216
- Energy above the lowest structure with this stoichiometry: 4.90 kJ per mole of atoms

abc: 5.5722 5.5722 5.5722
angles: 60.00 60.00 60.00
Closest atoms and distances in Å follow each position.
Sites, in units of the cell vectors:
Tb 0.0000 0.0000 0.0000  4 Sc 3.41, 4 Er 3.41
Nd 0.5000 0.5000 0.5000  4 Sc 3.41, 4 Er 3.41
Er 0.2500 0.2500 0.2500  4 Tb 3.41, 4 Nd 3.41
Sc 0.7500 0.7500 0.7500  4 Tb 3.41, 4 Nd 3.41

***

(10)
DFT (GGA-PBE) results for an optimized crystal structure of CeCuAgAu.

- Total energy: -4.284 eV/atom
- D(E_F): 1.6396 states/eV/atom
- SG: No. 216

abc: 4.8825 4.8825 4.8825
angles: 60.00 60.00 60.00
Closest atoms and distances in Å follow each position.
Sites, in units of the cell vectors:
Ce 0.0000 0.0000 0.0000  4 Cu 2.99, 4 Au 2.99
Cu 0.7500 0.7500 0.7500  4 Ag 2.99, 4 Ce 2.99
Ag 0.5000 0.5000 0.5000  4 Cu 2.99, 4 Au 2.99
Au 0.2500 0.2500 0.2500  4 Ag 2.99, 4 Ce 2.99

***

(11)
DFT (GGA-PBE) results for an optimized crystal structure of CaPtSe3.

- D(E_F): 1.5644 states/eV/atom
- SG: No. 221
- Energy relative to the elements, uncorrected: 0.719 eV/atom
- Energy above the lowest structure with this stoichiometry: 111.83 kJ per mole of atoms

abc: 5.3204 5.3204 5.3204
angles: 90.00 90.00 90.00
Closest atoms and distances in Å follow each position.
Sites, in units of the cell vectors:
Ca 0.0000 0.0000 0.0000  6 Se 2.66
Pt 0.5000 0.5000 0.5000  12 Se 3.76
Se 0.0000 0.0000 0.5000  2 Ca 2.66
Se 0.0000 0.5000 0.0000  2 Ca 2.66
Se 0.5000 0.0000 0.0000  2 Ca 2.66

***

(12)
DFT (GGA-PBE) results for an optimized crystal structure of Ac5PdAu4.

- Total energy: -4.639 eV/atom
- D(E_F): 0.7903 states/eV/atom
- SG: No. 123

abc: 3.8714 3.8714 19.6398
angles: 90.00 90.00 90.00
Closest atoms and distances in Å follow each position.
Sites, in units of the cell vectors:
Ac 0.0000 0.0000 0.0000  8 Au 3.38
Ac 0.0000 0.0000 0.2019  8 Au 3.37-3.38
Ac 0.0000 0.0000 0.4041  4 Pd 3.32, 4 Au 3.39
Ac 0.0000 0.0000 0.5959  4 Pd 3.32, 4 Au 3.39
Ac 0.0000 0.0000 0.7981  8 Au 3.37-3.38
Pd 0.5000 0.5000 0.5000  8 Ac 3.32
Au 0.5000 0.5000 0.1010  8 Ac 3.38
Au 0.5000 0.5000 0.3024  8 Ac 3.37-3.39
Au 0.5000 0.5000 0.6976  8 Ac 3.37-3.39
Au 0.5000 0.5000 0.8990  8 Ac 3.38

***

| no. | volume (Å³/atom) |
| --- | --- |
| 1 | 25.2 |
| 2 | 17.1 |
| 3 | 15.2 |
| 4 | 19.8 |
| 5 | 16.0 |
| 6 | 24.3 |
| 7 | 22.5 |
| 8 | 31.5 |
| 9 | 30.6 |
| 10 | 20.6 |
| 11 | 30.1 |
| 12 | 29.4 |